DFT (PBE-GGA) results for a relaxed structure of CrGaFeSe4.

It has space group R3m (No. 160, hexagonal axes), with a = 3.8220 Å, b = 3.8220 Å, c = 38.2493 Å, α = 90.00°, β = 90.00° and γ = 120.00°. The distinct sites, in fractional coordinates, are Cr at (0.0000, 0.0000, 0.0000), Ga at (0.0000, 0.0000, 0.4311), Fe at (0.0000, 0.0000, 0.5688), Se at (0.0000, 0.0000, 0.2118), Se at (0.0000, 0.0000, 0.3678), Se at (0.0000, 0.0000, 0.6325) and Se at (0.0000, 0.0000, 0.7936).

The total magnetization comes out at 6.520 μB per formula unit. The density of states at the Fermi level comes out at 0.66 states/eV/atom. The calculation puts the uncorrected formation energy at -373 meV/atom. Its energy is -112.995 eV for the cell shown.